(1)
Here is a crystal of Mg2FeRh relaxed with PBEsol from Alexandria. Energies are from meta-GGA SCAN.

Summary:
N(E_F)	4.0	states/eV/cell
DFT formation energy	-4.4	kJ per mole of atoms
total DFT energy (no corrections)	-15.5072	eV/atom

Unit cell a=2.8259 b=2.8259 c=25.8898 alpha=90.00 beta=90.00 gamma=120.00
Closest atoms and distances in Å follow each position.
Space group R-3m (No. 166, hexagonal axes)
Inequivalent atoms, fractional coordinates:
Mg (0.0000, 0.0000, 0.2485)  3 Rh 2.67, 3 Fe 2.74, 6 Mg 2.83
Fe (0.0000, 0.0000, 0.0000)  6 Mg 2.74, 6 Fe 2.83
Rh (0.0000, 0.0000, 0.5000)  6 Mg 2.67, 6 Rh 2.83



(2)
Here is a crystal of CaFe2Cu3Sb2O12 relaxed with PBEsol from Alexandria. Energies are from meta-GGA SCAN.

Summary:
formation energy from raw total energies	-1.581	eV per atom
total DFT energy (no corrections)	-13.6219	eV/atom

Unit cell a=7.4857 b=7.4857 c=7.4857 alpha=90.00 beta=90.00 gamma=90.00
Closest atoms and distances in Å follow each position.
Space group Pn-3 (No. 201, origin choice 2)
Inequivalent atoms, fractional coordinates:
Ca (0.2500, 0.2500, 0.2500)  12 O 2.63
Fe (0.0000, 0.0000, 0.0000)  6 O 2.00
Cu (0.2500, 0.2500, 0.7500)  4 O 1.94
Sb (0.0000, 0.0000, 0.5000)  6 O 2.01
O (0.0563, 0.7497, 0.5774)  1 Cu 1.94, 1 Fe 2.00, 1 Sb 2.01



(3)
Here is a crystal of MgZr2Cl relaxed with PBEsol from Alexandria. Energies are from meta-GGA SCAN.

Summary:
formation energy from raw total energies	0.203	eV per atom
N(E_F)	19.7	states/eV/cell
total DFT energy (no corrections)	-18.3839	eV/atom
offset from the most stable computed form	233	meV/atom

Unit cell a=6.8678 b=6.8678 c=6.8678 alpha=90.00 beta=90.00 gamma=90.00
Closest atoms and distances in Å follow each position.
Space group Fm-3m (No. 225)
Inequivalent atoms, fractional coordinates:
Mg (0.0000, 0.0000, 0.0000)  8 Zr 2.97
Zr (0.2500, 0.2500, 0.2500)  4 Cl 2.97, 4 Mg 2.97
Cl (0.0000, 0.0000, 0.5000)  8 Zr 2.97